First-principles (GGA-PBE) data for crystalline Tb6Sm7Er16 at its relaxed geometry, as listed in Alexandria via LeMat-Bulk.

Structure (POSCAR):
```
Tb6Sm7Er16
1.0
0.000 7.876 7.876
7.876 0.000 7.876
7.876 7.876 0.000
Tb Sm Er
6 7 16
Direct
0.241 0.241 0.759 Tb
0.241 0.759 0.241 Tb
0.241 0.759 0.759 Tb
0.759 0.241 0.241 Tb
0.759 0.241 0.759 Tb
0.759 0.759 0.241 Tb
0.000 0.000 0.500 Sm
0.000 0.500 0.000 Sm
0.000 0.500 0.500 Sm
0.500 0.000 0.000 Sm
0.500 0.000 0.500 Sm
0.500 0.500 0.000 Sm
0.500 0.500 0.500 Sm
0.112 0.629 0.629 Er
0.149 0.149 0.149 Er
0.149 0.149 0.553 Er
0.149 0.553 0.149 Er
0.371 0.371 0.371 Er
0.371 0.371 0.888 Er
0.371 0.888 0.371 Er
0.447 0.851 0.851 Er
0.553 0.149 0.149 Er
0.629 0.112 0.629 Er
0.629 0.629 0.112 Er
0.629 0.629 0.629 Er
0.851 0.447 0.851 Er
0.851 0.851 0.447 Er
0.851 0.851 0.851 Er
0.888 0.371 0.371 Er
```

volume = 33.70 Å³/atom
energy of formation = 7.4 eV per formula unit
energy = -4.360 eV/atom
mass density = 7.956 g cm⁻³
symmetry = Fm-3m, No. 225
total magnetic moment = 0.000 μB/atom